1.
# PBE LaSb2Au2, relaxed
data_LaSb2Au2
_chemical_formula_sum 'La2 Sb4 Au4'
_cell_length_a 8.2987
_cell_length_b 8.2987
_cell_length_c 3.5966
_cell_angle_alpha 90.00
_cell_angle_beta 90.00
_cell_angle_gamma 90.00
_space_group_name_H-M_alt 'P 4/m b m'
_space_group_IT_number 127
_space_group_name_Hall '-P 4 2ab'
loop_
_atom_site_label
_atom_site_type_symbol
_atom_site_fract_x
_atom_site_fract_y
_atom_site_fract_z
_atom_site_occupancy
La1 La 0.0000 0.0000 0.0000 1
Sb1 Sb 0.1423 0.3577 0.0000 1
Au1 Au 0.1562 0.6562 0.5000 1
# Total magnetic moment   0.0 Bohr magnetons per cell
# Raw total energy   -4.293 eV per atom

2.
# PBE BaTlSi4, relaxed
data_BaTlSi4
_chemical_formula_sum 'Ba4 Tl4 Si16'
_cell_length_a 8.2721
_cell_length_b 8.2721
_cell_length_c 8.2721
_cell_angle_alpha 90.00
_cell_angle_beta 90.00
_cell_angle_gamma 90.00
_space_group_name_H-M_alt 'F -4 3 m'
_space_group_IT_number 216
_space_group_name_Hall 'F -4 2 3'
loop_
_atom_site_label
_atom_site_type_symbol
_atom_site_fract_x
_atom_site_fract_y
_atom_site_fract_z
_atom_site_occupancy
Ba1 Ba 0.0000 0.0000 0.0000 1
Tl1 Tl 0.2500 0.2500 0.2500 1
Si1 Si 0.1417 0.1417 0.6417 1
# Total magnetic moment   0.0 Bohr magnetons per cell
# Raw total energy   -4.179 eV per atom

3.
# PBE PaFeGeH, relaxed
data_PaFeGeH
_chemical_formula_sum 'Pa1 Fe1 Ge1 H1'
_cell_length_a 4.2684
_cell_length_b 4.2684
_cell_length_c 3.4832
_cell_angle_alpha 90.00
_cell_angle_beta 90.00
_cell_angle_gamma 120.00
_space_group_name_H-M_alt 'P -6 m 2'
_space_group_IT_number 187
_space_group_name_Hall 'P -6 2'
loop_
_atom_site_label
_atom_site_type_symbol
_atom_site_fract_x
_atom_site_fract_y
_atom_site_fract_z
_atom_site_occupancy
Pa1 Pa 0.0000 0.0000 0.0000 1
Fe1 Fe 0.6667 0.3333 0.5000 1
Ge1 Ge 0.3333 0.6667 0.5000 1
H1 H 0.6667 0.3333 0.0000 1
# Total magnetic moment   0.0 Bohr magnetons per cell
# Raw total energy   -6.987 eV per atom

4.
# PBE NaAg3Sn3, relaxed
data_NaAg3Sn3
_chemical_formula_sum 'Na2 Ag6 Sn6'
_cell_length_a 7.7222
_cell_length_b 7.7222
_cell_length_c 7.7222
_cell_angle_alpha 90.00
_cell_angle_beta 90.00
_cell_angle_gamma 90.00
_space_group_name_H-M_alt 'P m -3 n'
_space_group_IT_number 223
_space_group_name_Hall '-P 4n 2 3'
loop_
_atom_site_label
_atom_site_type_symbol
_atom_site_fract_x
_atom_site_fract_y
_atom_site_fract_z
_atom_site_occupancy
Na1 Na 0.0000 0.0000 0.0000 1
Ag1 Ag 0.0000 0.2500 0.5000 1
Sn1 Sn 0.0000 0.5000 0.2500 1
# Total magnetic moment   0.0 Bohr magnetons per cell
# ΔE_f   0.28 eV/atom

5.
# PBE CaTb2PrTe4, relaxed
data_CaTb2PrTe4
_chemical_formula_sum 'Ca1 Tb2 Pr1 Te4'
_cell_length_a 7.6912
_cell_length_b 4.4078
_cell_length_c 7.7389
_cell_angle_alpha 90.00
_cell_angle_beta 108.97
_cell_angle_gamma 90.00
_space_group_name_H-M_alt 'P 1 2/m 1'
_space_group_IT_number 10
_space_group_name_Hall '-P 2y'
loop_
_atom_site_label
_atom_site_type_symbol
_atom_site_fract_x
_atom_site_fract_y
_atom_site_fract_z
_atom_site_occupancy
Ca1 Ca 0.0000 0.0000 0.0000 1
Tb1 Tb 0.5000 0.0000 0.5000 1
Tb2 Tb 0.5000 0.5000 0.0000 1
Pr1 Pr 0.0000 0.5000 0.5000 1
Te1 Te 0.2565 0.5000 0.2480 1
Te2 Te 0.2590 0.0000 0.7577 1
# Total magnetic moment   0.0 Bohr magnetons per cell
# Raw total energy   -4.993 eV per atom

6.
# PBE RbU2Cl11, relaxed
data_RbU2Cl11
_chemical_formula_sum 'Rb4 U8 Cl44'
_cell_length_a 12.5170
_cell_length_b 12.5757
_cell_length_c 14.1747
_cell_angle_alpha 90.00
_cell_angle_beta 90.00
_cell_angle_gamma 90.00
_space_group_name_H-M_alt 'I b a m'
_space_group_IT_number 72
_space_group_name_Hall '-I 2 2c'
loop_
_atom_site_label
_atom_site_type_symbol
_atom_site_fract_x
_atom_site_fract_y
_atom_site_fract_z
_atom_site_occupancy
Rb1 Rb 0.0000 0.0000 0.2500 1
U1 U 0.1494 0.3415 0.0000 1
Cl1 Cl 0.0000 0.5000 0.0000 1
Cl2 Cl 0.0448 0.2450 0.1254 1
Cl3 Cl 0.2162 0.3016 0.5000 1
Cl4 Cl 0.2482 0.0611 0.3737 1
# Total magnetic moment   8.0 Bohr magnetons per cell
# Raw total energy   -4.828 eV per atom

7.
# PBE Li2OsCl, relaxed
data_Li2OsCl
_chemical_formula_sum 'Li4 Os2 Cl2'
_cell_length_a 2.7730
_cell_length_b 4.7644
_cell_length_c 8.6457
_cell_angle_alpha 90.00
_cell_angle_beta 90.00
_cell_angle_gamma 90.00
_space_group_name_H-M_alt 'I m m m'
_space_group_IT_number 71
_space_group_name_Hall '-I 2 2'
loop_
_atom_site_label
_atom_site_type_symbol
_atom_site_fract_x
_atom_site_fract_y
_atom_site_fract_z
_atom_site_occupancy
Li1 Li 0.0000 0.0000 0.2183 1
Os1 Os 0.0000 0.5000 0.0000 1
Cl1 Cl 0.0000 0.5000 0.5000 1
# Total magnetic moment   0.0 Bohr magnetons per cell
# Raw total energy   -3.945 eV per atom

8.
# PBE MgMnS2, relaxed
data_MgMnS2
_chemical_formula_sum 'Mg3 Mn3 S6'
_cell_length_a 3.9037
_cell_length_b 3.9037
_cell_length_c 21.3278
_cell_angle_alpha 90.00
_cell_angle_beta 90.00
_cell_angle_gamma 120.00
_space_group_name_H-M_alt 'R -3 m'
_space_group_IT_number 166
_space_group_name_Hall '-R 3 2"'
loop_
_atom_site_label
_atom_site_type_symbol
_atom_site_fract_x
_atom_site_fract_y
_atom_site_fract_z
_atom_site_occupancy
Mg1 Mg 0.0000 0.0000 0.0000 1
Mn1 Mn 0.0000 0.0000 0.5000 1
S1 S 0.0000 0.0000 0.3962 1
# Total magnetic moment   14.7 Bohr magnetons per cell
# Raw total energy   -5.357 eV per atom

9.
# PBE BaHfAlCl2, relaxed
data_BaHfAlCl2
_chemical_formula_sum 'Ba1 Hf1 Al1 Cl2'
_cell_length_a 5.1140
_cell_length_b 5.1140
_cell_length_c 6.6903
_cell_angle_alpha 90.00
_cell_angle_beta 90.00
_cell_angle_gamma 90.00
_space_group_name_H-M_alt 'P 4/m m m'
_space_group_IT_number 123
_space_group_name_Hall '-P 4 2'
loop_
_atom_site_label
_atom_site_type_symbol
_atom_site_fract_x
_atom_site_fract_y
_atom_site_fract_z
_atom_site_occupancy
Ba1 Ba 0.0000 0.0000 0.0000 1
Hf1 Hf 0.5000 0.5000 0.0000 1
Al1 Al 0.0000 0.0000 0.5000 1
Cl1 Cl 0.0000 0.5000 0.5000 1
# Total magnetic moment   2.5 Bohr magnetons per cell
# Raw total energy   -3.466 eV per atom

10.
# PBE BaBiH, relaxed
data_BaBiH
_chemical_formula_sum 'Ba4 Bi4 H4'
_cell_length_a 4.4789
_cell_length_b 4.4789
_cell_length_c 18.4634
_cell_angle_alpha 90.00
_cell_angle_beta 90.00
_cell_angle_gamma 90.00
_space_group_name_H-M_alt 'I 4/m m m'
_space_group_IT_number 139
_space_group_name_Hall '-I 4 2'
loop_
_atom_site_label
_atom_site_type_symbol
_atom_site_fract_x
_atom_site_fract_y
_atom_site_fract_z
_atom_site_occupancy
Ba1 Ba 0.0000 0.0000 0.1559 1
Bi1 Bi 0.0000 0.5000 0.0000 1
H1 H 0.0000 0.0000 0.3027 1
# Total magnetic moment   0.0 Bohr magnetons per cell
# Raw total energy   -3.467 eV per atom

11.
# PBE Sc2CoOsPb, relaxed
data_Sc2CoOsPb
_chemical_formula_sum 'Sc2 Co1 Os1 Pb1'
_cell_length_a 5.2904
_cell_length_b 5.2904
_cell_length_c 4.5964
_cell_angle_alpha 90.00
_cell_angle_beta 90.00
_cell_angle_gamma 90.00
_space_group_name_H-M_alt 'P 4/m m m'
_space_group_IT_number 123
_space_group_name_Hall '-P 4 2'
loop_
_atom_site_label
_atom_site_type_symbol
_atom_site_fract_x
_atom_site_fract_y
_atom_site_fract_z
_atom_site_occupancy
Sc1 Sc 0.0000 0.5000 0.0000 1
Co1 Co 0.0000 0.0000 0.5000 1
Os1 Os 0.5000 0.5000 0.5000 1
Pb1 Pb 0.0000 0.0000 0.0000 1
# Total magnetic moment   2.7 Bohr magnetons per cell
# ΔE_f   1.54 eV/atom

12.
# PBE CuSn2F8, relaxed
data_CuSn2F8
_chemical_formula_sum 'Cu1 Sn2 F8'
_cell_length_a 6.6770
_cell_length_b 6.6770
_cell_length_c 4.3578
_cell_angle_alpha 90.00
_cell_angle_beta 90.00
_cell_angle_gamma 120.00
_space_group_name_H-M_alt 'P -3'
_space_group_IT_number 147
_space_group_name_Hall '-P 3'
loop_
_atom_site_label
_atom_site_type_symbol
_atom_site_fract_x
_atom_site_fract_y
_atom_site_fract_z
_atom_site_occupancy
Cu1 Cu 0.0000 0.0000 0.0000 1
Sn1 Sn 0.3333 0.6667 0.2534 1
F1 F 0.1567 0.8413 0.2354 1
F2 F 0.3333 0.6667 0.7536 1
# Total magnetic moment   0.0 Bohr magnetons per cell
# Raw total energy   -4.484 eV per atom